PBE-GGA UZnP2N6, relaxed; E_tot = -7.8253 eV per atom; V = 234.5 Å³ per cell; ρ = 6.364 g/cm³
1.0
4.911 -0.199 -0.207
1.349 6.861 -0.114
1.349 -0.368 6.852
U Zn P N
2 2 4 12
Direct
0.250 0.874 0.126
0.750 0.126 0.874
0.250 0.338 0.662
0.750 0.662 0.338
0.210 0.778 0.620
0.290 0.380 0.222
0.790 0.222 0.380
0.710 0.620 0.778
0.141 0.959 0.790
0.359 0.210 0.041
0.859 0.041 0.210
0.641 0.790 0.959
0.360 0.832 0.410
0.140 0.590 0.168
0.640 0.168 0.590
0.860 0.410 0.832
0.907 0.709 0.599
0.593 0.401 0.291
0.093 0.291 0.401
0.407 0.599 0.709